1.
Y2CoSn2 | GGA-PBE | optimized geometry

As for the total DFT energy (no corrections): -24.9 eV/f.u.

The space group is I4/mmm (No. 139) and the conventional cell measures 4.7761, 4.7761 and 12.9515 Å, with angles of 90.00, 90.00 and 90.00 degrees. Symmetry generates all atoms from Y at (0.0000, 0.5000, 0.2500), Co at (0.0000, 0.0000, 0.0000) and Sn at (0.0000, 0.0000, 0.3975).

***

2.
TlSi2Ag | GGA-PBE | optimized geometry

As for the total DFT energy (no corrections): -13.7 eV/f.u.

The space group is F-43m (No. 216) and the conventional cell measures 6.8393, 6.8393 and 6.8393 Å, with angles of 90.00, 90.00 and 90.00 degrees. Symmetry generates all atoms from Tl at (0.0000, 0.0000, 0.0000), Si at (0.0000, 0.0000, 0.5000), Si at (0.2500, 0.2500, 0.7500) and Ag at (0.2500, 0.2500, 0.2500).

***

3.
K3RbCu2Bi2 | GGA-PBE | optimized geometry

As for the total DFT energy (no corrections): -21.6 eV/f.u.

The space group is Pm (No. 6) and the conventional cell measures 6.6719, 6.5533 and 6.8014 Å, with angles of 90.00, 108.10 and 90.00 degrees. Symmetry generates all atoms from K at (0.0000, 0.0000, 0.0000), K at (0.3230, 0.5000, 0.9826), K at (0.6630, 0.0000, 0.3305), Rb at (0.6594, 0.5000, 0.6491), Cu at (0.1557, 0.2470, 0.4919), Bi at (0.4106, 0.0000, 0.7495) and Bi at (0.9121, 0.5000, 0.2309).

***

4.
LuB2Pb | GGA-PBE | optimized geometry

As for the total DFT energy (no corrections): -15.8 eV/f.u.

The space group is F-43m (No. 216) and the conventional cell measures 6.6197, 6.6197 and 6.6197 Å, with angles of 90.00, 90.00 and 90.00 degrees. Symmetry generates all atoms from Lu at (0.0000, 0.0000, 0.0000), B at (0.0000, 0.0000, 0.5000), B at (0.2500, 0.2500, 0.2500) and Pb at (0.2500, 0.2500, 0.7500).

***

5.
DyCdB4 | GGA-PBE | optimized geometry

The calculation puts the excess energy over the best structure of this formula in the dataset at 107 meV per atom.

The space group is P6/mmm (No. 191) and the conventional cell measures 3.2184, 3.2184 and 7.6949 Å, with angles of 90.00, 90.00 and 120.00 degrees. Symmetry generates all atoms from Dy at (0.0000, 0.0000, 0.0000), Cd at (0.0000, 0.0000, 0.5000) and B at (0.3333, 0.6667, 0.2473).

***

6.
PaAlRe | GGA-PBE | optimized geometry

The calculation puts the excess energy over the best structure of this formula in the dataset at 0 meV per atom.

The space group is F-43m (No. 216) and the conventional cell measures 6.4023, 6.4023 and 6.4023 Å, with angles of 90.00, 90.00 and 90.00 degrees. Symmetry generates all atoms from Pa at (0.0000, 0.0000, 0.0000), Al at (0.0000, 0.0000, 0.5000) and Re at (0.2500, 0.2500, 0.2500).

***

7.
ZnSiAsO | GGA-PBE | optimized geometry

The calculation puts the excess energy over the best structure of this formula in the dataset at 36 meV per atom.

The space group is Pmc2_1 (No. 26) and the conventional cell measures 3.8076, 5.8258 and 5.7654 Å, with angles of 90.00, 90.00 and 90.00 degrees. Symmetry generates all atoms from Zn at (0.0000, 0.1567, 0.0000), Si at (0.5000, 0.2694, 0.4142), As at (0.5000, 0.3305, 0.8237) and O at (0.0000, 0.1790, 0.3601).

***

8.
LuCdGaCu | GGA-PBE | optimized geometry

The calculation puts the excess energy over the best structure of this formula in the dataset at 3 meV per atom.

The space group is F-43m (No. 216) and the conventional cell measures 6.6786, 6.6786 and 6.6786 Å, with angles of 90.00, 90.00 and 90.00 degrees. Symmetry generates all atoms from Lu at (0.0000, 0.0000, 0.0000), Cd at (0.2500, 0.2500, 0.2500), Ga at (0.0000, 0.0000, 0.5000) and Cu at (0.2500, 0.2500, 0.7500).

***

9.
ZnSbPb2 | GGA-PBE | optimized geometry

As for the total DFT energy (no corrections): -12.1 eV/f.u.

The space group is F-43m (No. 216) and the conventional cell measures 7.6110, 7.6110 and 7.6110 Å, with angles of 90.00, 90.00 and 90.00 degrees. Symmetry generates all atoms from Zn at (0.0000, 0.0000, 0.0000), Sb at (0.2500, 0.2500, 0.2500), Pb at (0.0000, 0.0000, 0.5000) and Pb at (0.2500, 0.2500, 0.7500).

***

10.
Ho2PdPt | GGA-PBE | optimized geometry

For the formation energy, the calculation gives -1.13 eV per atom.

The space group is P2_1/m (No. 11) and the conventional cell measures 5.5518, 4.5360 and 6.9619 Å, with angles of 90.00, 90.11 and 90.00 degrees. Symmetry generates all atoms from Ho at (0.1398, 0.2500, 0.1865), Ho at (0.3577, 0.2500, 0.6777), Pd at (0.3485, 0.7500, 0.9589) and Pt at (0.1582, 0.7500, 0.4552).

***

11.
Sr2LiTcSe6 | GGA-PBE | optimized geometry

The calculation puts the excess energy over the best structure of this formula in the dataset at 0 meV per atom.

The space group is P-1 (No. 2) and the conventional cell measures 5.8810, 7.1132 and 7.1139 Å, with angles of 90.75, 114.29 and 114.06 degrees. Symmetry generates all atoms from Sr at (0.0150, 0.2698, 0.2639), Li at (0.5000, 0.5000, 0.0000), Tc at (0.5000, 0.0000, 0.5000), Se at (0.0047, 0.8215, 0.2080), Se at (0.4032, 0.6579, 0.6432) and Se at (0.4689, 0.1767, 0.7917).

***

12.
Ba2Al4IrPd | GGA-PBE | optimized geometry

As for the total DFT energy (no corrections): -37.6 eV/f.u.

The space group is Amm2 (No. 38) and the conventional cell measures 7.4186, 4.2906 and 12.3027 Å, with angles of 90.00, 90.00 and 90.00 degrees. Symmetry generates all atoms from Ba at (0.0000, 0.0000, 0.0000), Ba at (0.5000, 0.0000, 0.0873), Al at (0.1829, 0.0000, 0.7333), Al at (0.3074, 0.0000, 0.3546), Ir at (0.0000, 0.0000, 0.2619) and Pd at (0.5000, 0.0000, 0.8230).

***

13.
Hg3NF6 | GGA-PBE | optimized geometry

As for the total DFT energy (no corrections): -23.4 eV/f.u.

The space group is P-31m (No. 162) and the conventional cell measures 5.1572, 5.1572 and 5.9408 Å, with angles of 90.00, 90.00 and 120.00 degrees. Symmetry generates all atoms from Hg at (0.0000, 0.0000, 0.0000), Hg at (0.3333, 0.6667, 0.0000), N at (0.0000, 0.0000, 0.5000) and F at (0.0000, 0.2885, 0.3216).

***

14.
ZrNiGe2 | GGA-PBE | optimized geometry

As for the total DFT energy (no corrections): -23.6 eV/f.u.

The space group is F-43m (No. 216) and the conventional cell measures 6.4927, 6.4927 and 6.4927 Å, with angles of 90.00, 90.00 and 90.00 degrees. Symmetry generates all atoms from Zr at (0.0000, 0.0000, 0.0000), Ni at (0.2500, 0.2500, 0.7500), Ge at (0.0000, 0.0000, 0.5000) and Ge at (0.2500, 0.2500, 0.2500).

***

15.
AlFeCoRe | GGA-PBE | optimized geometry

The calculation puts the excess energy over the best structure of this formula in the dataset at 0 meV per atom.

The space group is F-43m (No. 216) and the conventional cell measures 5.8289, 5.8289 and 5.8289 Å, with angles of 90.00, 90.00 and 90.00 degrees. Symmetry generates all atoms from Al at (0.0000, 0.0000, 0.0000), Fe at (0.2500, 0.2500, 0.7500), Co at (0.2500, 0.2500, 0.2500) and Re at (0.0000, 0.0000, 0.5000).

***

16.
InHg3Te4Pt | GGA-PBE | optimized geometry

As for the total DFT energy (no corrections): -21.9 eV/f.u.

The space group is P-43m (No. 215) and the conventional cell measures 6.7564, 6.7564 and 6.7564 Å, with angles of 90.00, 90.00 and 90.00 degrees. Symmetry generates all atoms from In at (0.0000, 0.0000, 0.0000), Hg at (0.0000, 0.5000, 0.5000), Te at (0.2582, 0.2582, 0.2582) and Pt at (0.5000, 0.5000, 0.5000).

***

17.
TaInFeAg | GGA-PBE | optimized geometry

The calculation puts the excess energy over the best structure of this formula in the dataset at 0 meV per atom.

The space group is F-43m (No. 216) and the conventional cell measures 6.4565, 6.4565 and 6.4565 Å, with angles of 90.00, 90.00 and 90.00 degrees. Symmetry generates all atoms from Ta at (0.0000, 0.0000, 0.0000), In at (0.0000, 0.0000, 0.5000), Fe at (0.2500, 0.2500, 0.7500) and Ag at (0.2500, 0.2500, 0.2500).

***

18.
NbAsOsO | GGA-PBE | optimized geometry

The calculation puts the excess energy over the best structure of this formula in the dataset at 183 meV per atom.

The space group is Pmc2_1 (No. 26) and the conventional cell measures 4.0600, 5.4891 and 5.3067 Å, with angles of 90.00, 90.00 and 90.00 degrees. Symmetry generates all atoms from Nb at (0.0000, 0.0078, 0.0000), As at (0.5000, 0.2397, 0.7449), Os at (0.5000, 0.3078, 0.2329) and O at (0.0000, 0.3164, 0.2849).

***

19.
NaUN2 | GGA-PBE | optimized geometry

As for the total DFT energy (no corrections): -33.3 eV/f.u.

The space group is R-3m (No. 166, hexagonal axes) and the conventional cell measures 3.5016, 3.5016 and 16.7766 Å, with angles of 90.00, 90.00 and 120.00 degrees. Symmetry generates all atoms from Na at (0.0000, 0.0000, 0.0000), U at (0.0000, 0.0000, 0.5000) and N at (0.0000, 0.0000, 0.2280).

***

20.
HfSiNiAu | GGA-PBE | optimized geometry

As for the total DFT energy (no corrections): -25.3 eV/f.u.

The space group is F-43m (No. 216) and the conventional cell measures 6.3326, 6.3326 and 6.3326 Å, with angles of 90.00, 90.00 and 90.00 degrees. Symmetry generates all atoms from Hf at (0.0000, 0.0000, 0.0000), Si at (0.2500, 0.2500, 0.2500), Ni at (0.0000, 0.0000, 0.5000) and Au at (0.2500, 0.2500, 0.7500).